No. 1
An optimized crystal structure of CuPBr. Source: Alexandria, functional GGA-PBE.

Computed properties:
The calculated volume is 58.95 Å³/cell. The calculation puts the total moment at 0.00 μB per cell. As for the formation energy (no corrections): 208 kJ/mol of formula units. The excess energy over the best structure of this formula in the dataset comes out at 591 meV per atom. As for the space group: F-43m (216).

a = 4.369 Å, b = 4.369 Å, c = 4.369 Å
α = 60.00°, β = 60.00°, γ = 60.00°
Fractional coordinates of all 3 atoms:
Cu 0.000 0.000 0.000
P 0.250 0.250 0.250
Br 0.750 0.750 0.750

No. 2
An optimized crystal structure of Pm4CuPBr2. Source: Alexandria, functional GGA-PBE.

Computed properties:
The calculated volume is 215.98 Å³/cell. The calculation puts the total moment at 0.00 μB per cell. As for the formation energy (no corrections): -820 kJ/mol of formula units. As for the space group: P2/m (10).

a = 7.308 Å, b = 4.063 Å, c = 7.620 Å
α = 90.00°, β = 107.32°, γ = 90.00°
Fractional coordinates of all 8 atoms:
Pm 0.230 0.000 0.210
Pm 0.269 0.500 0.792
Pm 0.731 0.500 0.208
Pm 0.770 0.000 0.790
Cu 0.500 0.000 0.000
P 0.000 0.500 0.000
Br 0.000 0.000 0.500
Br 0.500 0.500 0.500

No. 3
An optimized crystal structure of PmCuPBr. Source: Alexandria, functional GGA-PBE.

Computed properties:
The calculated volume is 196.14 Å³/cell. The calculation puts the total moment at 0.00 μB per cell. As for the formation energy (no corrections): -464 kJ/mol of formula units. As for the space group: R-3m (166).

a = 13.966 Å, b = 13.966 Å, c = 13.966 Å
α = 16.70°, β = 16.70°, γ = 16.70°
Fractional coordinates of all 8 atoms:
Pm 0.075 0.075 0.075
Pm 0.925 0.925 0.925
Cu 0.312 0.312 0.312
Cu 0.688 0.688 0.688
P 0.370 0.370 0.370
P 0.630 0.630 0.630
Br 0.213 0.213 0.213
Br 0.787 0.787 0.787

No. 4
An optimized crystal structure of Pr4CuPBr2. Source: Alexandria, functional GGA-PBE.

Computed properties:
The calculated volume is 225.92 Å³/cell. The calculation puts the total moment at 0.00 μB per cell. As for the formation energy (no corrections): -823 kJ/mol of formula units. As for the space group: P2/m (10).

a = 7.406 Å, b = 4.124 Å, c = 7.751 Å
α = 90.00°, β = 107.40°, γ = 90.00°
Fractional coordinates of all 8 atoms:
Pr 0.229 0.000 0.212
Pr 0.268 0.500 0.790
Pr 0.732 0.500 0.210
Pr 0.771 0.000 0.788
Cu 0.500 0.000 0.000
P 0.000 0.500 0.000
Br 0.000 0.000 0.500
Br 0.500 0.500 0.500

No. 5
An optimized crystal structure of Pr8CuP3Br4. Source: Alexandria, functional GGA-PBE.

Computed properties:
The calculated volume is 450.46 Å³/cell. The calculation puts the total moment at 0.00 μB per cell. As for the formation energy (no corrections): -1967 kJ/mol of formula units. As for the space group: R-3m (166).

a = 8.826 Å, b = 8.826 Å, c = 8.826 Å
α = 56.82°, β = 56.82°, γ = 56.82°
Fractional coordinates of all 16 atoms:
Pr 0.235 0.235 0.235
Pr 0.236 0.737 0.737
Pr 0.263 0.263 0.764
Pr 0.263 0.764 0.263
Pr 0.737 0.236 0.737
Pr 0.737 0.737 0.236
Pr 0.764 0.263 0.263
Pr 0.765 0.765 0.765
Cu 0.500 0.500 0.500
P 0.000 0.000 0.500
P 0.000 0.500 0.000
P 0.500 0.000 0.000
Br 0.000 0.000 0.000
Br 0.000 0.500 0.500
Br 0.500 0.000 0.500
Br 0.500 0.500 0.000

No. 6
An optimized crystal structure of Rb2CuPBr6. Source: Alexandria, functional GGA-PBE.

Computed properties:
The calculated volume is 294.63 Å³/cell. The calculation puts the total moment at 0.00 μB per cell. As for the formation energy (no corrections): -802 kJ/mol of formula units. As for the space group: I4/mmm (139).

a = 7.471 Å, b = 7.471 Å, c = 7.471 Å
α = 120.05°, β = 120.05°, γ = 89.91°
Fractional coordinates of all 10 atoms:
Rb 0.250 0.750 0.500
Rb 0.750 0.250 0.500
Cu 0.000 0.000 0.000
P 0.500 0.500 0.000
Br 0.252 0.252 0.000
Br 0.252 0.252 0.503
Br 0.252 0.748 0.000
Br 0.748 0.252 0.000
Br 0.748 0.748 0.000
Br 0.748 0.748 0.497

No. 7
An optimized crystal structure of CuP4S3Br. Source: Alexandria, functional GGA-PBE.

Computed properties:
The calculated volume is 1033.43 Å³/cell. The calculation puts the total moment at 0.00 μB per cell. As for the formation energy (no corrections): -195 kJ/mol of formula units. The excess energy over the best structure of this formula in the dataset comes out at 0 meV per atom. As for the space group: P-1 (2).

a = 6.763 Å, b = 9.515 Å, c = 17.114 Å
α = 95.10°, β = 95.32°, γ = 108.23°
Fractional coordinates of all 36 atoms:
Cu 0.055 0.132 0.314
Cu 0.322 0.652 0.580
Cu 0.678 0.348 0.420
Cu 0.945 0.868 0.686
P 0.053 0.906 0.343
P 0.122 0.430 0.610
P 0.165 0.356 0.036
P 0.170 0.205 0.200
P 0.174 0.596 0.331
P 0.192 0.694 0.460
P 0.387 0.136 0.124
P 0.492 0.366 0.195
P 0.508 0.634 0.805
P 0.613 0.864 0.876
P 0.808 0.306 0.540
P 0.826 0.404 0.669
P 0.830 0.795 0.800
P 0.835 0.644 0.964
P 0.878 0.570 0.390
P 0.947 0.094 0.657
S 0.031 0.729 0.879
S 0.192 0.780 0.270
S 0.223 0.919 0.455
S 0.234 0.262 0.647
S 0.281 0.175 0.011
S 0.428 0.503 0.113
S 0.572 0.497 0.887
S 0.719 0.825 0.989
S 0.766 0.738 0.353
S 0.777 0.081 0.545
S 0.808 0.220 0.730
S 0.969 0.271 0.121
Br 0.298 0.850 0.679
Br 0.302 0.312 0.421
Br 0.698 0.688 0.579
Br 0.702 0.150 0.321

No. 8
An optimized crystal structure of CuP4S3Br. Source: Alexandria, functional GGA-PBE.

Computed properties:
The calculated volume is 1026.89 Å³/cell. The calculation puts the total moment at 0.00 μB per cell. As for the formation energy (no corrections): -192 kJ/mol of formula units. The excess energy over the best structure of this formula in the dataset comes out at 3 meV per atom. As for the space group: Cmce (64).

a = 12.129 Å, b = 12.129 Å, c = 11.269 Å
α = 90.00°, β = 90.00°, γ = 141.72°
Fractional coordinates of all 36 atoms:
Cu 0.197 0.197 0.000
Cu 0.303 0.303 0.500
Cu 0.697 0.697 0.500
Cu 0.803 0.803 0.000
P 0.061 0.220 0.474
P 0.116 0.884 0.685
P 0.210 0.790 0.459
P 0.220 0.061 0.526
P 0.280 0.439 0.026
P 0.290 0.710 0.959
P 0.384 0.616 0.185
P 0.439 0.280 0.974
P 0.561 0.720 0.026
P 0.616 0.384 0.815
P 0.710 0.290 0.041
P 0.720 0.561 0.974
P 0.780 0.939 0.474
P 0.790 0.210 0.541
P 0.884 0.116 0.315
P 0.939 0.780 0.526
S 0.052 0.357 0.576
S 0.143 0.448 0.924
S 0.206 0.794 0.648
S 0.294 0.706 0.148
S 0.357 0.052 0.424
S 0.448 0.143 0.076
S 0.552 0.857 0.924
S 0.643 0.948 0.576
S 0.706 0.294 0.852
S 0.794 0.206 0.352
S 0.857 0.552 0.076
S 0.948 0.643 0.424
Br 0.023 0.977 0.163
Br 0.477 0.523 0.663
Br 0.523 0.477 0.337
Br 0.977 0.023 0.837

No. 9
An optimized crystal structure of Cu6PS5Br. Source: Alexandria, functional GGA-PBE.

Computed properties:
The calculated volume is 458.39 Å³/cell. The calculation puts the total moment at 0.00 μB per cell. As for the formation energy (no corrections): -296 kJ/mol of formula units. As for the space group: Cc (9).

a = 6.844 Å, b = 6.844 Å, c = 11.968 Å
α = 106.60°, β = 106.60°, γ = 60.01°
Fractional coordinates of all 26 atoms:
Cu 0.017 0.983 0.500
Cu 0.116 0.208 0.723
Cu 0.208 0.116 0.223
Cu 0.344 0.617 0.723
Cu 0.446 0.518 0.500
Cu 0.483 0.947 0.499
Cu 0.518 0.446 0.000
Cu 0.617 0.344 0.223
Cu 0.707 0.848 0.723
Cu 0.848 0.707 0.223
Cu 0.947 0.483 0.999
Cu 0.983 0.017 0.000
P 0.478 0.977 0.986
P 0.977 0.478 0.486
S 0.038 0.539 0.670
S 0.276 0.284 0.922
S 0.284 0.276 0.422
S 0.309 0.775 0.922
S 0.357 0.857 0.625
S 0.539 0.038 0.170
S 0.775 0.309 0.422
S 0.784 0.809 0.922
S 0.809 0.784 0.422
S 0.857 0.357 0.125
Br 0.228 0.727 0.237
Br 0.727 0.228 0.737

No. 10
An optimized crystal structure of SmCuPBr. Source: Alexandria, functional GGA-PBE.

Computed properties:
The calculated volume is 194.52 Å³/cell. The calculation puts the total moment at 0.00 μB per cell. As for the formation energy (no corrections): -465 kJ/mol of formula units. As for the space group: R-3m (166).

a = 13.947 Å, b = 13.947 Å, c = 13.947 Å
α = 16.66°, β = 16.66°, γ = 16.66°
Fractional coordinates of all 8 atoms:
Sm 0.074 0.074 0.074
Sm 0.926 0.926 0.926
Cu 0.312 0.312 0.312
Cu 0.688 0.688 0.688
P 0.370 0.370 0.370
P 0.630 0.630 0.630
Br 0.213 0.213 0.213
Br 0.787 0.787 0.787

No. 11
An optimized crystal structure of TlCu2PBr. Source: Alexandria, functional GGA-PBE.

Computed properties:
The calculated volume is 152.20 Å³/cell. The calculation puts the total moment at 2.53 μB per cell. As for the formation energy (no corrections): 571 kJ/mol of formula units. As for the space group: P4/mmm (123).

a = 5.004 Å, b = 5.004 Å, c = 6.078 Å
α = 90.00°, β = 90.00°, γ = 90.00°
Fractional coordinates of all 5 atoms:
Tl 0.000 0.000 0.000
Cu 0.000 0.500 0.000
Cu 0.500 0.000 0.000
P 0.500 0.500 0.500
Br 0.000 0.000 0.500

No. 12
An optimized crystal structure of PaCuBr2. Source: Alexandria, functional GGA-PBE.

Computed properties:
The calculated volume is 98.23 Å³/cell. The calculation puts the total moment at 1.50 μB per cell. As for the formation energy (no corrections): -44 kJ/mol of formula units. As for the space group: R-3m (166).

a = 9.191 Å, b = 9.191 Å, c = 9.191 Å
α = 22.32°, β = 22.32°, γ = 22.32°
Fractional coordinates of all 4 atoms:
Pa 0.000 0.000 0.000
Cu 0.500 0.500 0.500
Br 0.107 0.107 0.107
Br 0.893 0.893 0.893

No. 13
An optimized crystal structure of PaCu2Br8. Source: Alexandria, functional GGA-PBE.

Computed properties:
The calculated volume is 427.52 Å³/cell. The calculation puts the total moment at 1.07 μB per cell. As for the formation energy (no corrections): -910 kJ/mol of formula units. The excess energy over the best structure of this formula in the dataset comes out at 0 meV per atom. As for the space group: C2/m (12).

a = 8.025 Å, b = 8.025 Å, c = 7.403 Å
α = 90.36°, β = 90.36°, γ = 63.73°
Fractional coordinates of all 11 atoms:
Pa 0.000 0.000 0.000
Cu 0.211 0.211 0.235
Cu 0.789 0.789 0.765
Br 0.111 0.653 0.841
Br 0.116 0.116 0.710
Br 0.347 0.889 0.159
Br 0.363 0.363 0.353
Br 0.637 0.637 0.647
Br 0.653 0.111 0.841
Br 0.884 0.884 0.290
Br 0.889 0.347 0.159

No. 14
An optimized crystal structure of PaCu2Br8. Source: Alexandria, functional GGA-PBE.

Computed properties:
The calculated volume is 753.44 Å³/cell. The calculation puts the total moment at 2.20 μB per cell. As for the formation energy (no corrections): -880 kJ/mol of formula units. The excess energy over the best structure of this formula in the dataset comes out at 29 meV per atom. As for the space group: P-1 (2).

a = 8.110 Å, b = 10.263 Å, c = 10.614 Å
α = 78.17°, β = 68.17°, γ = 67.08°
Fractional coordinates of all 22 atoms:
Pa 0.128 0.249 0.250
Pa 0.872 0.751 0.750
Cu 0.153 0.544 0.097
Cu 0.292 0.953 0.402
Cu 0.708 0.047 0.598
Cu 0.847 0.456 0.903
Br 0.098 0.735 0.935
Br 0.141 0.475 0.726
Br 0.142 0.186 0.514
Br 0.151 0.974 0.226
Br 0.265 0.763 0.565
Br 0.305 0.442 0.271
Br 0.340 0.312 0.986
Br 0.485 0.946 0.771
Br 0.515 0.054 0.229
Br 0.660 0.688 0.014
Br 0.695 0.558 0.729
Br 0.735 0.237 0.435
Br 0.849 0.026 0.774
Br 0.858 0.814 0.486
Br 0.859 0.525 0.274
Br 0.902 0.265 0.065

No. 15
An optimized crystal structure of PaCuBr. Source: Alexandria, functional GGA-PBE.

Computed properties:
The calculated volume is 140.12 Å³/cell. The calculation puts the total moment at 0.00 μB per cell. As for the formation energy (no corrections): -25 kJ/mol of formula units. As for the space group: P-6m2 (187).

a = 3.454 Å, b = 3.454 Å, c = 13.565 Å
α = 90.00°, β = 90.00°, γ = 120.00°
Fractional coordinates of all 6 atoms:
Pa 0.000 0.000 0.156
Pa 0.000 0.000 0.844
Cu 0.667 0.333 0.000
Cu 0.667 0.333 0.500
Br 0.667 0.333 0.320
Br 0.667 0.333 0.680

No. 16
An optimized crystal structure of RbPaCu2Br8. Source: Alexandria, functional GGA-PBE.

Computed properties:
The calculated volume is 444.51 Å³/cell. The calculation puts the total moment at 0.00 μB per cell. As for the formation energy (no corrections): -1221 kJ/mol of formula units. As for the space group: C2/m (12).

a = 6.770 Å, b = 6.770 Å, c = 10.300 Å
α = 93.17°, β = 93.17°, γ = 70.68°
Fractional coordinates of all 12 atoms:
Rb 0.000 0.000 0.000
Pa 0.000 0.000 0.500
Cu 0.333 0.333 0.721
Cu 0.667 0.667 0.279
Br 0.243 0.752 0.311
Br 0.248 0.757 0.689
Br 0.251 0.251 0.503
Br 0.312 0.312 0.940
Br 0.688 0.688 0.060
Br 0.749 0.749 0.497
Br 0.752 0.243 0.311
Br 0.757 0.248 0.689

No. 17
An optimized crystal structure of PaCuS3Br. Source: Alexandria, functional GGA-PBE.

Computed properties:
The calculated volume is 334.78 Å³/cell. The calculation puts the total moment at 0.00 μB per cell. As for the formation energy (no corrections): -524 kJ/mol of formula units. As for the space group: Cmcm (63).

a = 8.244 Å, b = 8.244 Å, c = 10.192 Å
α = 90.00°, β = 90.00°, γ = 151.10°
Fractional coordinates of all 12 atoms:
Pa 0.000 0.000 0.000
Pa 0.000 0.000 0.500
Cu 0.388 0.612 0.750
Cu 0.612 0.388 0.250
S 0.035 0.965 0.750
S 0.395 0.605 0.525
S 0.395 0.605 0.975
S 0.605 0.395 0.025
S 0.605 0.395 0.475
S 0.965 0.035 0.250
Br 0.205 0.795 0.250
Br 0.795 0.205 0.750

No. 18
An optimized crystal structure of PaTlCuBr6. Source: Alexandria, functional GGA-PBE.

Computed properties:
The calculated volume is 655.98 Å³/cell. The calculation puts the total moment at 2.01 μB per cell. As for the formation energy (no corrections): -898 kJ/mol of formula units. As for the space group: P-31c (163).

a = 7.054 Å, b = 7.054 Å, c = 15.224 Å
α = 90.00°, β = 90.00°, γ = 120.00°
Fractional coordinates of all 18 atoms:
Pa 0.333 0.667 0.250
Pa 0.667 0.333 0.750
Tl 0.000 0.000 0.000
Tl 0.000 0.000 0.500
Cu 0.333 0.667 0.750
Cu 0.667 0.333 0.250
Br 0.011 0.366 0.644
Br 0.011 0.645 0.856
Br 0.355 0.366 0.856
Br 0.355 0.989 0.644
Br 0.366 0.011 0.144
Br 0.366 0.355 0.356
Br 0.634 0.645 0.644
Br 0.634 0.989 0.856
Br 0.645 0.011 0.356
Br 0.645 0.634 0.144
Br 0.989 0.355 0.144
Br 0.989 0.634 0.356

No. 19
An optimized crystal structure of CuPb2Br2. Source: Alexandria, functional GGA-PBE.

Computed properties:
The calculated volume is 163.28 Å³/cell. The calculation puts the total moment at 0.00 μB per cell. As for the formation energy (no corrections): 83 kJ/mol of formula units. The excess energy over the best structure of this formula in the dataset comes out at 365 meV per atom. As for the space group: I4/mmm (139).

a = 7.870 Å, b = 7.870 Å, c = 7.870 Å
α = 144.53°, β = 144.53°, γ = 51.04°
Fractional coordinates of all 5 atoms:
Cu 0.000 0.000 0.000
Pb 0.388 0.388 0.000
Pb 0.612 0.612 0.000
Br 0.250 0.750 0.500
Br 0.750 0.250 0.500

No. 20
An optimized crystal structure of CuPb2Br. Source: Alexandria, functional GGA-PBE.

Computed properties:
The calculated volume is 109.46 Å³/cell. The calculation puts the total moment at 0.00 μB per cell. As for the formation energy (no corrections): -26 kJ/mol of formula units. The excess energy over the best structure of this formula in the dataset comes out at 16 meV per atom. As for the space group: R3m (160).

a = 9.566 Å, b = 9.566 Å, c = 9.566 Å
α = 22.19°, β = 22.19°, γ = 22.19°
Fractional coordinates of all 4 atoms:
Cu 0.000 0.000 0.000
Pb 0.500 0.500 0.500
Pb 0.735 0.735 0.735
Br 0.284 0.284 0.284